# Pb3C2

Pb3C2 after structural relaxation (PBE-GGA, Alexandria via LeMat-Bulk).

Cell lengths 3.6917, 3.6917, 25.8405 Å; angles 90.00, 90.00, 120.00 degrees
Space group R-3m (No. 166, hexagonal axes)
Inequivalent atoms, fractional coordinates:
1 Pb 0.0000 0.0000 0.0000 [3 per cell]
2 Pb 0.0000 0.0000 0.2230 [6 per cell]
3 C 0.0000 0.0000 0.3975 [6 per cell]

Energy, hartree per atom: -0.167
Calculated formation energy, eV per formula unit: 6.8